[1]
P3OsF, optimized geometry, DFT PBE-GGA; density = 5.21 g/cm3; formation energy (no corrections) = 442 meV per atom; volume = 19.25 Å³/atom; distance to the lowest polymorph of the same formula = 0.0 meV/atom; space-group type = Pm-3m, No. 221; N(E_F) = 0.776 states/eV per atom
1.0
-0.672 -2.435 -3.824
-2.433 -3.067 2.381
-3.825 2.379 -0.843
P Os F
3 1 1
direct
0.000 0.500 0.000
0.000 0.000 0.500
0.500 0.000 0.000
0.000 0.000 0.000
0.500 0.500 0.500



[2]
P2OsF, optimized geometry, DFT PBE-GGA; density = 9.02 g/cm3; formation energy (no corrections) = -60 meV per atom; volume = 12.48 Å³/atom; distance to the lowest polymorph of the same formula = 61.1 meV/atom; space-group type = Fm-3m, No. 225; N(E_F) = 1.045 states/eV per atom
1.0
3.071 -2.259 1.596
2.248 1.488 3.132
-0.383 -1.633 3.777
F P Os
1 2 1
direct
0.000 0.000 0.000
0.750 0.750 0.750
0.250 0.250 0.250
0.500 0.500 0.500



[3]
POsF3, optimized geometry, DFT PBE-GGA; density = 6.06 g/cm3; formation energy (no corrections) = 351 meV per atom; volume = 15.25 Å³/atom; space-group type = Pm-3m, No. 221; N(E_F) = 0.615 states/eV per atom
1.0
4.240 0.000 0.000
0.000 4.240 0.000
0.000 0.000 4.240
F Os P
3 1 1
direct
0.500 0.000 0.000
0.000 0.500 0.000
0.000 0.000 0.500
0.500 0.500 0.500
0.000 0.000 0.000



[4]
POs2F, optimized geometry, DFT PBE-GGA; density = 12.52 g/cm3; formation energy (no corrections) = 297 meV per atom; volume = 14.27 Å³/atom; distance to the lowest polymorph of the same formula = 149.0 meV/atom; space-group type = I-42d, No. 122; N(E_F) = 0.648 states/eV per atom
1.0
3.941 0.000 0.000
0.000 3.941 0.000
1.971 1.971 7.349
P Os F
2 4 2
direct
0.750 0.250 0.500
0.000 0.000 0.000
0.589 0.125 0.250
0.875 0.839 0.750
0.375 0.411 0.750
0.161 0.625 0.250
0.500 0.500 0.000
0.250 0.750 0.500



[5]
POs2F, optimized geometry, DFT PBE-GGA; density = 14.75 g/cm3; formation energy (no corrections) = 148 meV per atom; volume = 12.11 Å³/atom; distance to the lowest polymorph of the same formula = 0.0 meV/atom; space-group type = Fm-3m, No. 225; N(E_F) = 1.044 states/eV per atom
1.0
-1.508 -3.553 -1.360
-4.047 -0.523 -0.302
-1.768 -0.196 -3.685
P Os F
1 2 1
direct
0.500 0.500 0.500
0.750 0.750 0.750
0.250 0.250 0.250
0.000 0.000 0.000



[6]
P2Os4F, optimized geometry, DFT PBE-GGA; density = 13.14 g/cm3; formation energy (no corrections) = 1068 meV per atom; volume = 15.19 Å³/atom; space-group type = I4/mmm, No. 139; N(E_F) = 0.908 states/eV per atom
1.0
4.070 0.000 0.000
0.000 4.070 0.000
2.035 2.035 6.421
Os P F
4 2 1
direct
0.500 0.000 0.000
0.000 0.500 0.000
0.780 0.780 0.439
0.220 0.220 0.561
0.613 0.613 0.773
0.387 0.387 0.227
0.000 0.000 0.000



[7]
P2OsF, optimized geometry, DFT PBE-GGA; density = 5.84 g/cm3; formation energy (no corrections) = -121 meV per atom; volume = 19.27 Å³/atom; distance to the lowest polymorph of the same formula = 0.0 meV/atom; space-group type = I-42d, No. 122; N(E_F) = 0.883 states/eV per atom
1.0
-5.105 -0.771 1.719
-0.107 -4.838 -2.487
-0.806 -5.069 3.945
P F Os
4 2 2
direct
0.375 0.341 0.750
0.659 0.125 0.250
0.091 0.625 0.250
0.875 0.909 0.750
0.250 0.750 0.500
0.500 0.500 0.000
0.000 0.000 0.000
0.750 0.250 0.500



[8]
P3OsF, optimized geometry, DFT PBE-GGA; density = 6.93 g/cm3; formation energy (no corrections) = 1080 meV per atom; volume = 14.47 Å³/atom; distance to the lowest polymorph of the same formula = 638.5 meV/atom; space-group type = Pm-3m, No. 221; N(E_F) = 0.547 states/eV per atom
1.0
4.167 0.000 0.000
0.000 4.167 0.000
0.000 0.000 4.167
P Os F
3 1 1
direct
0.500 0.000 0.000
0.000 0.500 0.000
0.000 0.000 0.500
0.500 0.500 0.500
0.000 0.000 0.000



Number 1: size of the total moment 0.0000 μB/atom. Number 2: size of the total moment 0.0001 μB/atom. Number 3: size of the total moment 0.8000 μB/atom. Number 4: size of the total moment 0.0000 μB/atom. Number 5: size of the total moment 0.0000 μB/atom. Number 6: size of the total moment 0.0913 μB/atom. Number 7: size of the total moment 0.0000 μB/atom. Number 8: size of the total moment 0.0000 μB/atom.